[1]
The following is a PBE calculation of crystalline BTeRuF2 at its relaxed geometry, from the Alexandria database.

a = 4.077 Å, b = 4.077 Å, c = 5.210 Å
α = 90.00°, β = 90.00°, γ = 90.00°
Fractional coordinates of all 5 atoms:
B 0.000 0.000 0.000
Te 0.500 0.500 0.500
Ru 0.500 0.500 0.000
F 0.000 0.500 0.500
F 0.500 0.000 0.500

* space-group type: P4/mmm (123)
* V: 86.6 Å³/cell
* uncorrected formation energy: 0.32 eV per atom

***

[2]
The following is a PBE calculation of crystalline BS2F at its relaxed geometry, from the Alexandria database.

a = 5.622 Å, b = 5.622 Å, c = 5.622 Å
α = 90.00°, β = 90.00°, γ = 90.00°
Fractional coordinates of all 16 atoms:
B 0.000 0.000 0.000
B 0.000 0.500 0.500
B 0.500 0.000 0.500
B 0.500 0.500 0.000
S 0.250 0.250 0.250
S 0.250 0.250 0.750
S 0.250 0.750 0.250
S 0.250 0.750 0.750
S 0.750 0.250 0.250
S 0.750 0.250 0.750
S 0.750 0.750 0.250
S 0.750 0.750 0.750
F 0.000 0.000 0.500
F 0.000 0.500 0.000
F 0.500 0.000 0.000
F 0.500 0.500 0.500

* energy above the lowest structure with this stoichiometry: 914.7 meV/atom
* space-group type: Fm-3m (225)
* V: 177.7 Å³/cell
* uncorrected formation energy: 0.86 eV per atom

***

[3]
The following is a PBE calculation of crystalline BSF7 at its relaxed geometry, from the Alexandria database.

a = 9.683 Å, b = 5.789 Å, c = 9.169 Å
α = 90.00°, β = 90.00°, γ = 90.00°
Fractional coordinates of all 36 atoms:
B 0.021 0.250 0.151
B 0.479 0.750 0.651
B 0.521 0.250 0.349
B 0.979 0.750 0.849
S 0.213 0.750 0.115
S 0.287 0.250 0.615
S 0.713 0.750 0.385
S 0.787 0.250 0.885
F 0.066 0.050 0.230
F 0.066 0.450 0.230
F 0.078 0.250 0.012
F 0.126 0.750 0.858
F 0.194 0.050 0.558
F 0.194 0.450 0.558
F 0.229 0.250 0.773
F 0.271 0.750 0.273
F 0.306 0.550 0.058
F 0.306 0.950 0.058
F 0.374 0.250 0.358
F 0.422 0.750 0.512
F 0.434 0.550 0.730
F 0.434 0.950 0.730
F 0.566 0.050 0.270
F 0.566 0.450 0.270
F 0.578 0.250 0.488
F 0.626 0.750 0.642
F 0.694 0.050 0.942
F 0.694 0.450 0.942
F 0.729 0.250 0.727
F 0.771 0.750 0.227
F 0.806 0.550 0.442
F 0.806 0.950 0.442
F 0.874 0.250 0.142
F 0.922 0.750 0.988
F 0.934 0.550 0.770
F 0.934 0.950 0.770

* space-group type: Pnma (62)
* V: 513.9 Å³/cell
* uncorrected formation energy: -2.19 eV per atom

***

[4]
The following is a PBE calculation of crystalline B2SF at its relaxed geometry, from the Alexandria database.

a = 4.859 Å, b = 4.859 Å, c = 7.484 Å
α = 90.00°, β = 90.00°, γ = 90.00°
Fractional coordinates of all 16 atoms:
B 0.220 0.250 0.125
B 0.250 0.720 0.375
B 0.250 0.780 0.875
B 0.280 0.250 0.625
B 0.720 0.750 0.625
B 0.750 0.220 0.875
B 0.750 0.280 0.375
B 0.780 0.750 0.125
S 0.000 0.000 0.000
S 0.000 0.500 0.250
S 0.500 0.000 0.750
S 0.500 0.500 0.500
F 0.000 0.000 0.500
F 0.000 0.500 0.750
F 0.500 0.000 0.250
F 0.500 0.500 0.000

* energy above the lowest structure with this stoichiometry: 0.0 meV/atom
* space-group type: I-42d (122)
* V: 176.7 Å³/cell
* uncorrected formation energy: 0.79 eV per atom

***

[5]
The following is a PBE calculation of crystalline BS2F at its relaxed geometry, from the Alexandria database.

a = 3.106 Å, b = 3.106 Å, c = 19.498 Å
α = 90.00°, β = 90.00°, γ = 120.00°
Fractional coordinates of all 12 atoms:
B 0.000 0.000 0.000
B 0.333 0.667 0.667
B 0.667 0.333 0.333
S 0.000 0.000 0.393
S 0.000 0.000 0.607
S 0.333 0.667 0.059
S 0.333 0.667 0.274
S 0.667 0.333 0.726
S 0.667 0.333 0.941
F 0.000 0.000 0.500
F 0.333 0.667 0.167
F 0.667 0.333 0.833

* energy above the lowest structure with this stoichiometry: 158.0 meV/atom
* space-group type: R-3m (166)
* V: 162.9 Å³/cell
* uncorrected formation energy: 0.10 eV per atom

***

[6]
The following is a PBE calculation of crystalline BSF3 at its relaxed geometry, from the Alexandria database.

a = 18.764 Å, b = 18.764 Å, c = 4.114 Å
α = 90.26°, β = 90.26°, γ = 160.39°
Fractional coordinates of all 20 atoms:
B 0.137 0.863 0.750
B 0.271 0.729 0.250
B 0.729 0.271 0.750
B 0.863 0.137 0.250
S 0.313 0.399 0.693
S 0.399 0.313 0.193
S 0.601 0.687 0.807
S 0.687 0.601 0.307
F 0.022 0.712 0.933
F 0.157 0.304 0.920
F 0.158 0.582 0.439
F 0.288 0.978 0.567
F 0.304 0.157 0.420
F 0.418 0.842 0.061
F 0.582 0.158 0.939
F 0.696 0.843 0.580
F 0.712 0.022 0.433
F 0.842 0.418 0.561
F 0.843 0.696 0.080
F 0.978 0.288 0.067

* energy above the lowest structure with this stoichiometry: 0.0 meV/atom
* space-group type: C2/c (15)
* V: 485.9 Å³/cell
* uncorrected formation energy: -1.35 eV per atom

***

[7]
The following is a PBE calculation of crystalline B3SF at its relaxed geometry, from the Alexandria database.

a = 3.831 Å, b = 3.831 Å, c = 3.831 Å
α = 90.00°, β = 90.00°, γ = 90.00°
Fractional coordinates of all 5 atoms:
B 0.000 0.000 0.500
B 0.000 0.500 0.000
B 0.500 0.000 0.000
S 0.000 0.000 0.000
F 0.500 0.500 0.500

* energy above the lowest structure with this stoichiometry: 0.0 meV/atom
* space-group type: Pm-3m (221)
* V: 56.2 Å³/cell
* uncorrected formation energy: 1.63 eV per atom

***

[8]
The following is a PBE calculation of crystalline BSF2 at its relaxed geometry, from the Alexandria database.

a = 5.932 Å, b = 5.932 Å, c = 5.932 Å
α = 90.00°, β = 90.00°, γ = 90.00°
Fractional coordinates of all 16 atoms:
B 0.000 0.000 0.000
B 0.000 0.500 0.500
B 0.500 0.000 0.500
B 0.500 0.500 0.000
S 0.000 0.000 0.500
S 0.000 0.500 0.000
S 0.500 0.000 0.000
S 0.500 0.500 0.500
F 0.250 0.250 0.250
F 0.250 0.250 0.750
F 0.250 0.750 0.250
F 0.250 0.750 0.750
F 0.750 0.250 0.250
F 0.750 0.250 0.750
F 0.750 0.750 0.250
F 0.750 0.750 0.750

* energy above the lowest structure with this stoichiometry: 1602.8 meV/atom
* space-group type: Fm-3m (225)
* V: 208.8 Å³/cell
* uncorrected formation energy: 0.91 eV per atom

***

[9]
The following is a PBE calculation of crystalline BS2F3 at its relaxed geometry, from the Alexandria database.

a = 7.461 Å, b = 7.461 Å, c = 5.826 Å
α = 109.93°, β = 109.93°, γ = 92.12°
Fractional coordinates of all 12 atoms:
B 0.096 0.904 0.750
B 0.904 0.096 0.250
S 0.372 0.517 0.056
S 0.483 0.628 0.444
S 0.517 0.372 0.556
S 0.628 0.483 0.944
F 0.029 0.716 0.628
F 0.029 0.971 0.250
F 0.284 0.971 0.872
F 0.716 0.029 0.128
F 0.971 0.029 0.750
F 0.971 0.284 0.372

* space-group type: C2/c (15)
* V: 282.3 Å³/cell
* uncorrected formation energy: -1.82 eV per atom

***

[10]
The following is a PBE calculation of crystalline B2SF at its relaxed geometry, from the Alexandria database.

a = 5.318 Å, b = 5.318 Å, c = 5.318 Å
α = 90.00°, β = 90.00°, γ = 90.00°
Fractional coordinates of all 16 atoms:
B 0.250 0.250 0.250
B 0.250 0.250 0.750
B 0.250 0.750 0.250
B 0.250 0.750 0.750
B 0.750 0.250 0.250
B 0.750 0.250 0.750
B 0.750 0.750 0.250
B 0.750 0.750 0.750
S 0.000 0.000 0.000
S 0.000 0.500 0.500
S 0.500 0.000 0.500
S 0.500 0.500 0.000
F 0.000 0.000 0.500
F 0.000 0.500 0.000
F 0.500 0.000 0.000
F 0.500 0.500 0.500

* energy above the lowest structure with this stoichiometry: 341.1 meV/atom
* space-group type: Fm-3m (225)
* V: 150.4 Å³/cell
* uncorrected formation energy: 1.13 eV per atom

***

[11]
The following is a PBE calculation of crystalline BSF3 at its relaxed geometry, from the Alexandria database.

a = 4.218 Å, b = 4.218 Å, c = 4.218 Å
α = 90.00°, β = 90.00°, γ = 90.00°
Fractional coordinates of all 5 atoms:
B 0.000 0.000 0.000
S 0.500 0.500 0.500
F 0.000 0.500 0.500
F 0.500 0.000 0.500
F 0.500 0.500 0.000

* energy above the lowest structure with this stoichiometry: 1658.7 meV/atom
* space-group type: Pm-3m (221)
* V: 75.0 Å³/cell
* uncorrected formation energy: 0.31 eV per atom

***

[12]
The following is a PBE calculation of crystalline BSF2 at its relaxed geometry, from the Alexandria database.

a = 2.651 Å, b = 2.651 Å, c = 28.960 Å
α = 90.00°, β = 90.00°, γ = 120.00°
Fractional coordinates of all 12 atoms:
B 0.000 0.000 0.000
B 0.333 0.667 0.667
B 0.667 0.333 0.333
S 0.000 0.000 0.500
S 0.333 0.667 0.167
S 0.667 0.333 0.833
F 0.000 0.000 0.046
F 0.000 0.000 0.954
F 0.333 0.667 0.621
F 0.333 0.667 0.713
F 0.667 0.333 0.287
F 0.667 0.333 0.379

* energy above the lowest structure with this stoichiometry: 0.0 meV/atom
* space-group type: R-3m (166)
* V: 176.2 Å³/cell
* uncorrected formation energy: -0.70 eV per atom

***

[13]
The following is a PBE calculation of crystalline BS2F5 at its relaxed geometry, from the Alexandria database.

a = 4.861 Å, b = 5.133 Å, c = 7.255 Å
α = 85.14°, β = 85.20°, γ = 63.10°
Fractional coordinates of all 8 atoms:
B 0.000 0.000 0.000
S 0.588 0.715 0.386
S 0.636 0.599 0.637
F 0.007 0.748 0.962
F 0.237 0.759 0.325
F 0.243 0.050 0.955
F 0.749 0.202 0.084
F 0.792 0.226 0.664

* space-group type: P1 (1)
* V: 160.6 Å³/cell
* uncorrected formation energy: -1.87 eV per atom

***

[14]
The following is a PBE calculation of crystalline BSF3 at its relaxed geometry, from the Alexandria database.

a = 3.769 Å, b = 3.769 Å, c = 3.769 Å
α = 90.00°, β = 90.00°, γ = 90.00°
Fractional coordinates of all 5 atoms:
B 0.000 0.000 0.000
S 0.500 0.500 0.500
F 0.000 0.000 0.500
F 0.000 0.500 0.000
F 0.500 0.000 0.000

* energy above the lowest structure with this stoichiometry: 1169.8 meV/atom
* space-group type: Pm-3m (221)
* V: 53.5 Å³/cell
* uncorrected formation energy: -0.18 eV per atom

***

[15]
The following is a PBE calculation of crystalline BS2F at its relaxed geometry, from the Alexandria database.

a = 5.397 Å, b = 5.397 Å, c = 8.203 Å
α = 90.00°, β = 90.00°, γ = 90.00°
Fractional coordinates of all 16 atoms:
B 0.000 0.000 0.000
B 0.000 0.500 0.250
B 0.500 0.000 0.750
B 0.500 0.500 0.500
S 0.166 0.250 0.125
S 0.250 0.666 0.375
S 0.250 0.834 0.875
S 0.334 0.250 0.625
S 0.666 0.750 0.625
S 0.750 0.166 0.875
S 0.750 0.334 0.375
S 0.834 0.750 0.125
F 0.000 0.000 0.500
F 0.000 0.500 0.750
F 0.500 0.000 0.250
F 0.500 0.500 0.000

* energy above the lowest structure with this stoichiometry: 0.0 meV/atom
* space-group type: I-42d (122)
* V: 238.9 Å³/cell
* uncorrected formation energy: -0.06 eV per atom

***

[16]
The following is a PBE calculation of crystalline BSF2 at its relaxed geometry, from the Alexandria database.

a = 5.084 Å, b = 5.084 Å, c = 5.084 Å
α = 60.00°, β = 60.00°, γ = 60.00°
Fractional coordinates of all 8 atoms:
B 0.125 0.125 0.125
B 0.875 0.875 0.875
S 0.375 0.375 0.375
S 0.625 0.625 0.625
F 0.000 0.000 0.000
F 0.000 0.000 0.500
F 0.000 0.500 0.000
F 0.500 0.000 0.000

* energy above the lowest structure with this stoichiometry: 393.7 meV/atom
* space-group type: Fd-3m (227)
* V: 92.9 Å³/cell
* uncorrected formation energy: -0.30 eV per atom

***

[17]
The following is a PBE calculation of crystalline BS2F at its relaxed geometry, from the Alexandria database.

a = 3.281 Å, b = 3.281 Å, c = 20.767 Å
α = 90.00°, β = 90.00°, γ = 120.00°
Fractional coordinates of all 12 atoms:
B 0.000 0.000 0.000
B 0.333 0.667 0.667
B 0.667 0.333 0.333
S 0.000 0.000 0.080
S 0.000 0.000 0.920
S 0.333 0.667 0.586
S 0.333 0.667 0.747
S 0.667 0.333 0.253
S 0.667 0.333 0.414
F 0.000 0.000 0.500
F 0.333 0.667 0.167
F 0.667 0.333 0.833

* energy above the lowest structure with this stoichiometry: 196.5 meV/atom
* space-group type: R-3m (166)
* V: 193.6 Å³/cell
* uncorrected formation energy: 0.14 eV per atom

***

[18]
The following is a PBE calculation of crystalline B3SF at its relaxed geometry, from the Alexandria database.

a = 4.025 Å, b = 4.025 Å, c = 4.025 Å
α = 90.00°, β = 90.00°, γ = 90.00°
Fractional coordinates of all 5 atoms:
B 0.000 0.000 0.500
B 0.000 0.500 0.000
B 0.500 0.000 0.000
S 0.500 0.500 0.500
F 0.000 0.000 0.000

* energy above the lowest structure with this stoichiometry: 451.3 meV/atom
* space-group type: Pm-3m (221)
* V: 65.2 Å³/cell
* uncorrected formation energy: 2.08 eV per atom

***

[19]
The following is a PBE calculation of crystalline ScB2SF at its relaxed geometry, from the Alexandria database.

a = 3.619 Å, b = 3.619 Å, c = 4.894 Å
α = 90.00°, β = 90.00°, γ = 90.00°
Fractional coordinates of all 5 atoms:
Sc 0.000 0.000 0.000
B 0.000 0.500 0.500
B 0.500 0.000 0.500
S 0.500 0.500 0.500
F 0.500 0.500 0.000

* space-group type: P4/mmm (123)
* V: 64.1 Å³/cell
* uncorrected formation energy: 0.22 eV per atom

***

[20]
The following is a PBE calculation of crystalline SiB2SF at its relaxed geometry, from the Alexandria database.

a = 4.163 Å, b = 4.163 Å, c = 4.319 Å
α = 90.00°, β = 90.00°, γ = 90.00°
Fractional coordinates of all 5 atoms:
Si 0.000 0.000 0.000
B 0.000 0.500 0.500
B 0.500 0.000 0.500
S 0.500 0.500 0.000
F 0.000 0.000 0.500

* space-group type: P4/mmm (123)
* V: 74.8 Å³/cell
* uncorrected formation energy: 1.54 eV per atom